Entry 1:
{"formula": "TbErS2", "functional": "GGA-PBE", "state": "relaxed", "sg": "C2/m (12)", "de_polymorph_mev_per_atom": 0, "dft_energy_ev_per_cell": -25.39, "e_form_raw_ev_per_atom": -1.98, "n_ef_per_ev_cell": 1.55, "lattice": [[3.369, -1.953, 0.000], [3.369, 1.953, 0.000], [-2.268, 0.000, 6.352]], "species": ["Tb", "Er", "S", "S"], "fractional_positions": [[0.000, 0.000, 0.000], [0.500, 0.500, 0.500], [0.248, 0.248, 0.744], [0.752, 0.752, 0.256]]}

=====

Entry 2:
{"formula": "TbEr2S", "functional": "GGA-PBE", "state": "relaxed", "sg": "R3m (160)", "de_polymorph_mev_per_atom": 0, "dft_energy_ev_per_cell": -21.65, "e_form_raw_ev_per_atom": -0.94, "n_ef_per_ev_cell": 2.51, "lattice": [[1.845, 1.065, 9.160], [-1.845, 1.065, 9.160], [0.000, -2.130, 9.160]], "species": ["Tb", "Er", "Er", "S"], "fractional_positions": [[0.000, 0.000, 0.000], [0.562, 0.562, 0.562], [0.773, 0.773, 0.773], [0.167, 0.167, 0.167]]}

=====

Entry 3:
{"formula": "Tb2ErS3", "functional": "GGA-PBE", "state": "relaxed", "sg": "Immm (71)", "dft_energy_ev_per_cell": -38.14, "e_form_raw_ev_per_atom": -1.99, "n_ef_per_ev_cell": 2.35, "lattice": [[-1.957, 2.758, 5.852], [1.957, -2.758, 5.852], [1.957, 2.758, -5.852]], "species": ["Tb", "Tb", "Er", "S", "S", "S"], "fractional_positions": [[0.169, 0.169, 0.000], [0.831, 0.831, 0.000], [0.500, 0.500, 0.000], [0.000, 0.500, 0.500], [0.337, 0.837, 0.500], [0.663, 0.163, 0.500]]}

=====

Entry 4:
{"formula": "Tb4Er3S8", "functional": "GGA-PBE", "state": "relaxed", "sg": "C2/m (12)", "dft_energy_ev_per_cell": -95.86, "e_form_raw_ev_per_atom": -2.04, "n_ef_per_ev_cell": 6.02, "lattice": [[5.501, -5.502, 0.000], [5.501, 5.502, 0.000], [-5.493, 0.000, 5.503]], "species": ["Tb", "Tb", "Tb", "Tb", "Er", "Er", "Er", "S", "S", "S", "S", "S", "S", "S", "S"], "fractional_positions": [[0.000, 0.000, 0.000], [0.000, 0.500, 0.000], [0.500, 0.000, 0.000], [0.500, 0.500, 0.500], [0.000, 0.500, 0.500], [0.500, 0.000, 0.500], [0.500, 0.500, 0.000], [0.248, 0.752, 0.500], [0.249, 0.249, 0.504], [0.250, 0.250, 0.996], [0.252, 0.748, 0.000], [0.748, 0.252, 0.000], [0.750, 0.750, 0.004], [0.751, 0.751, 0.496], [0.752, 0.248, 0.500]]}

=====

Entry 5:
{"formula": "Tb5ErS6", "functional": "GGA-PBE", "state": "relaxed", "sg": "C2/m (12)", "dft_energy_ev_per_cell": -76.52, "e_form_raw_ev_per_atom": -2.00, "n_ef_per_ev_cell": 4.19, "lattice": [[3.390, -5.889, 0.000], [3.390, 5.889, 0.000], [-2.280, 0.000, 6.377]], "species": ["Tb", "Tb", "Tb", "Tb", "Tb", "Er", "S", "S", "S", "S", "S", "S"], "fractional_positions": [[0.000, 0.000, 0.000], [0.167, 0.833, 0.500], [0.331, 0.669, 0.000], [0.669, 0.331, 0.000], [0.833, 0.167, 0.500], [0.500, 0.500, 0.500], [0.088, 0.417, 0.252], [0.253, 0.253, 0.749], [0.417, 0.088, 0.252], [0.583, 0.912, 0.748], [0.747, 0.747, 0.251], [0.912, 0.583, 0.748]]}

=====

Entry 6:
{"formula": "Tb3Er2S8", "functional": "GGA-PBE", "state": "relaxed", "sg": "C2/m (12)", "dft_energy_ev_per_cell": -80.28, "e_form_raw_ev_per_atom": -1.87, "n_ef_per_ev_cell": 7.33, "lattice": [[6.829, -3.955, 0.000], [6.829, 3.955, 0.000], [-2.321, 0.000, 6.282]], "species": ["Tb", "Tb", "Tb", "Er", "Er", "S", "S", "S", "S", "S", "S", "S", "S"], "fractional_positions": [[0.000, 0.000, 0.000], [0.263, 0.737, 0.500], [0.737, 0.263, 0.500], [0.262, 0.262, 0.843], [0.738, 0.738, 0.157], [0.109, 0.639, 0.084], [0.119, 0.119, 0.432], [0.361, 0.891, 0.916], [0.382, 0.382, 0.599], [0.618, 0.618, 0.401], [0.639, 0.109, 0.084], [0.881, 0.881, 0.568], [0.891, 0.361, 0.916]]}

=====

Entry 7:
{"formula": "Tb3ErS3", "functional": "GGA-PBE", "state": "relaxed", "sg": "P4_2/mnm (136)", "dft_energy_ev_per_cell": -170.77, "e_form_raw_ev_per_atom": -1.69, "n_ef_per_ev_cell": 10.01, "lattice": [[10.953, 0.000, 0.000], [0.000, 10.953, 0.000], [0.000, 0.000, 5.492]], "species": ["Tb", "Tb", "Tb", "Tb", "Tb", "Tb", "Tb", "Tb", "Tb", "Tb", "Tb", "Tb", "Er", "Er", "Er", "Er", "S", "S", "S", "S", "S", "S", "S", "S", "S", "S", "S", "S"], "fractional_positions": [[0.121, 0.373, 0.000], [0.126, 0.126, 0.500], [0.127, 0.621, 0.500], [0.373, 0.121, 0.000], [0.374, 0.626, 0.000], [0.379, 0.873, 0.500], [0.621, 0.127, 0.500], [0.626, 0.374, 0.000], [0.627, 0.879, 0.000], [0.873, 0.379, 0.500], [0.874, 0.874, 0.500], [0.879, 0.627, 0.000], [0.122, 0.878, 0.000], [0.378, 0.378, 0.500], [0.622, 0.622, 0.500], [0.878, 0.122, 0.000], [0.123, 0.123, 0.000], [0.126, 0.628, 0.000], [0.128, 0.374, 0.500], [0.372, 0.874, 0.000], [0.374, 0.128, 0.500], [0.377, 0.623, 0.500], [0.623, 0.377, 0.500], [0.626, 0.872, 0.500], [0.628, 0.126, 0.000], [0.872, 0.626, 0.500], [0.874, 0.372, 0.000], [0.877, 0.877, 0.000]]}

=====

Entry 8:
{"formula": "Tb3Er2S6", "functional": "GGA-PBE", "state": "relaxed", "sg": "C2/m (12)", "dft_energy_ev_per_cell": -70.53, "e_form_raw_ev_per_atom": -2.07, "n_ef_per_ev_cell": 4.05, "lattice": [[3.382, -5.837, 0.000], [3.382, 5.837, 0.000], [-2.245, 0.000, 6.330]], "species": ["Tb", "Tb", "Tb", "Er", "Er", "S", "S", "S", "S", "S", "S"], "fractional_positions": [[0.000, 0.000, 0.000], [0.338, 0.662, 0.000], [0.662, 0.338, 0.000], [0.166, 0.834, 0.500], [0.834, 0.166, 0.500], [0.083, 0.418, 0.253], [0.247, 0.247, 0.741], [0.418, 0.083, 0.253], [0.582, 0.917, 0.747], [0.753, 0.753, 0.259], [0.917, 0.582, 0.747]]}

=====

Entry 9:
{"formula": "TbEr5S6", "functional": "GGA-PBE", "state": "relaxed", "sg": "C2/m (12)", "dft_energy_ev_per_cell": -75.80, "e_form_raw_ev_per_atom": -1.97, "n_ef_per_ev_cell": 4.07, "lattice": [[3.355, -5.827, 0.000], [3.355, 5.827, 0.000], [-2.256, 0.000, 6.306]], "species": ["Tb", "Er", "Er", "Er", "Er", "Er", "S", "S", "S", "S", "S", "S"], "fractional_positions": [[0.000, 0.000, 0.000], [0.165, 0.835, 0.500], [0.334, 0.666, 0.000], [0.500, 0.500, 0.500], [0.666, 0.334, 0.000], [0.835, 0.165, 0.500], [0.084, 0.421, 0.252], [0.253, 0.253, 0.749], [0.421, 0.084, 0.252], [0.579, 0.916, 0.748], [0.747, 0.747, 0.251], [0.916, 0.579, 0.748]]}

=====

Entry 10:
{"formula": "Tb2Er3S4", "functional": "GGA-PBE", "state": "relaxed", "sg": "P-3m1 (164)", "dft_energy_ev_per_cell": -55.21, "e_form_raw_ev_per_atom": -1.75, "n_ef_per_ev_cell": 5.97, "lattice": [[3.845, 0.000, 0.000], [-1.923, 3.330, 0.000], [0.000, 0.000, 15.835]], "species": ["Tb", "Tb", "Er", "Er", "Er", "S", "S", "S", "S"], "fractional_positions": [[0.333, 0.667, 0.206], [0.667, 0.333, 0.794], [0.000, 0.000, 0.000], [0.333, 0.667, 0.589], [0.667, 0.333, 0.411], [0.000, 0.000, 0.309], [0.000, 0.000, 0.691], [0.333, 0.667, 0.900], [0.667, 0.333, 0.100]]}

=====

Entry 11:
{"formula": "TbEr2S3", "functional": "GGA-PBE", "state": "relaxed", "sg": "Immm (71)", "dft_energy_ev_per_cell": -37.96, "e_form_raw_ev_per_atom": -1.97, "n_ef_per_ev_cell": 2.33, "lattice": [[-1.947, 2.743, 5.820], [1.947, -2.743, 5.820], [1.947, 2.743, -5.820]], "species": ["Tb", "Er", "Er", "S", "S", "S"], "fractional_positions": [[0.000, 0.000, 0.000], [0.336, 0.336, 0.000], [0.664, 0.664, 0.000], [0.170, 0.670, 0.500], [0.500, 0.000, 0.500], [0.830, 0.330, 0.500]]}

=====

Entry 12:
{"formula": "Tb4ErS5", "functional": "GGA-PBE", "state": "relaxed", "sg": "Immm (71)", "dft_energy_ev_per_cell": -63.66, "e_form_raw_ev_per_atom": -1.99, "n_ef_per_ev_cell": 4.42, "lattice": [[-1.958, 2.764, 9.792], [1.958, -2.764, 9.792], [1.958, 2.764, -9.792]], "species": ["Tb", "Tb", "Tb", "Tb", "Er", "S", "S", "S", "S", "S"], "fractional_positions": [[0.100, 0.100, 0.000], [0.301, 0.301, 0.000], [0.699, 0.699, 0.000], [0.900, 0.900, 0.000], [0.500, 0.500, 0.000], [0.000, 0.500, 0.500], [0.200, 0.700, 0.500], [0.402, 0.902, 0.500], [0.598, 0.098, 0.500], [0.800, 0.300, 0.500]]}

=====

Entry 13:
{"formula": "TbEr6S8", "functional": "GGA-PBE", "state": "relaxed", "sg": "Fm-3m (225)", "dft_energy_ev_per_cell": -95.44, "e_form_raw_ev_per_atom": -2.03, "n_ef_per_ev_cell": 5.74, "lattice": [[0.000, 5.460, 5.460], [5.460, 0.000, 5.460], [5.460, 5.460, 0.000]], "species": ["Tb", "Er", "Er", "Er", "Er", "Er", "Er", "S", "S", "S", "S", "S", "S", "S", "S"], "fractional_positions": [[0.000, 0.000, 0.000], [0.000, 0.000, 0.500], [0.000, 0.500, 0.000], [0.000, 0.500, 0.500], [0.500, 0.000, 0.000], [0.500, 0.000, 0.500], [0.500, 0.500, 0.000], [0.250, 0.250, 0.250], [0.254, 0.254, 0.746], [0.254, 0.746, 0.254], [0.254, 0.746, 0.746], [0.746, 0.254, 0.254], [0.746, 0.254, 0.746], [0.746, 0.746, 0.254], [0.750, 0.750, 0.750]]}

=====

Entry 14:
{"formula": "Tb3ErS6", "functional": "GGA-PBE", "state": "relaxed", "sg": "R-3 (148)", "dft_energy_ev_per_cell": -127.85, "e_form_raw_ev_per_atom": -2.07, "n_ef_per_ev_cell": 0.00, "lattice": [[5.744, 3.316, 4.547], [-5.744, 3.316, 4.547], [0.000, -6.633, 4.547]], "species": ["Tb", "Tb", "Tb", "Tb", "Tb", "Tb", "Er", "Er", "S", "S", "S", "S", "S", "S", "S", "S", "S", "S", "S", "S"], "fractional_positions": [[0.068, 0.577, 0.748], [0.252, 0.932, 0.423], [0.423, 0.252, 0.932], [0.577, 0.748, 0.068], [0.748, 0.068, 0.577], [0.932, 0.423, 0.252], [0.000, 0.000, 0.000], [0.500, 0.500, 0.500], [0.037, 0.907, 0.683], [0.093, 0.317, 0.963], [0.186, 0.590, 0.419], [0.317, 0.963, 0.093], [0.410, 0.581, 0.814], [0.419, 0.186, 0.590], [0.581, 0.814, 0.410], [0.590, 0.419, 0.186], [0.683, 0.037, 0.907], [0.814, 0.410, 0.581], [0.907, 0.683, 0.037], [0.963, 0.093, 0.317]]}

=====

Entry 15:
{"formula": "TbEr2S", "functional": "GGA-PBE", "state": "relaxed", "sg": "R-3m (166)", "de_polymorph_mev_per_atom": 230, "dft_energy_ev_per_cell": -20.73, "e_form_raw_ev_per_atom": -0.71, "n_ef_per_ev_cell": 4.05, "lattice": [[1.808, 1.044, 10.007], [-1.808, 1.044, 10.007], [0.000, -2.088, 10.007]], "species": ["Tb", "Er", "Er", "S"], "fractional_positions": [[0.000, 0.000, 0.000], [0.112, 0.112, 0.112], [0.888, 0.888, 0.888], [0.500, 0.500, 0.500]]}

=====

Entry 16:
{"formula": "TbErS2", "functional": "GGA-PBE", "state": "relaxed", "sg": "R3m (160)", "de_polymorph_mev_per_atom": 25, "dft_energy_ev_per_cell": -25.29, "e_form_raw_ev_per_atom": -1.96, "n_ef_per_ev_cell": 0.64, "lattice": [[1.909, 1.102, 6.731], [-1.909, 1.102, 6.731], [0.000, -2.205, 6.731]], "species": ["Tb", "Er", "S", "S"], "fractional_positions": [[0.000, 0.000, 0.000], [0.178, 0.178, 0.178], [0.586, 0.586, 0.586], [0.759, 0.759, 0.759]]}

=====

Entry 17:
{"formula": "TbErTeS", "functional": "GGA-PBE", "state": "relaxed", "sg": "R3m (160)", "dft_energy_ev_per_cell": -23.16, "e_form_raw_ev_per_atom": -1.67, "n_ef_per_ev_cell": 0.19, "lattice": [[2.004, 1.157, 7.096], [-2.004, 1.157, 7.096], [0.000, -2.315, 7.096]], "species": ["Tb", "Er", "Te", "S"], "fractional_positions": [[0.000, 0.000, 0.000], [0.805, 0.805, 0.805], [0.234, 0.234, 0.234], [0.407, 0.407, 0.407]]}

=====

Entry 18:
{"formula": "TbEr3Th4S8", "functional": "GGA-PBE", "state": "relaxed", "sg": "R-3m (166)", "dft_energy_ev_per_cell": -111.50, "e_form_raw_ev_per_atom": -1.90, "n_ef_per_ev_cell": 5.10, "lattice": [[3.886, 2.244, 6.721], [-3.886, 2.244, 6.721], [0.000, -4.487, 6.721]], "species": ["Tb", "Er", "Er", "Er", "Th", "Th", "Th", "Th", "S", "S", "S", "S", "S", "S", "S", "S"], "fractional_positions": [[0.000, 0.000, 0.000], [0.000, 0.500, 0.500], [0.500, 0.000, 0.500], [0.500, 0.500, 0.000], [0.000, 0.000, 0.500], [0.000, 0.500, 0.000], [0.500, 0.000, 0.000], [0.500, 0.500, 0.500], [0.245, 0.245, 0.741], [0.245, 0.741, 0.245], [0.257, 0.257, 0.257], [0.259, 0.755, 0.755], [0.741, 0.245, 0.245], [0.743, 0.743, 0.743], [0.755, 0.259, 0.755], [0.755, 0.755, 0.259]]}

=====

Entry 19:
{"formula": "Tb4ErTh3S8", "functional": "GGA-PBE", "state": "relaxed", "sg": "R-3m (166)", "dft_energy_ev_per_cell": -109.19, "e_form_raw_ev_per_atom": -1.93, "n_ef_per_ev_cell": 6.17, "lattice": [[3.939, 2.274, 6.558], [-3.939, 2.274, 6.558], [0.000, -4.548, 6.558]], "species": ["Tb", "Tb", "Tb", "Tb", "Er", "Th", "Th", "Th", "S", "S", "S", "S", "S", "S", "S", "S"], "fractional_positions": [[0.000, 0.000, 0.000], [0.000, 0.500, 0.500], [0.500, 0.000, 0.500], [0.500, 0.500, 0.000], [0.500, 0.500, 0.500], [0.000, 0.000, 0.500], [0.000, 0.500, 0.000], [0.500, 0.000, 0.000], [0.252, 0.252, 0.740], [0.252, 0.740, 0.252], [0.254, 0.254, 0.254], [0.260, 0.748, 0.748], [0.740, 0.252, 0.252], [0.746, 0.746, 0.746], [0.748, 0.260, 0.748], [0.748, 0.748, 0.260]]}

=====

Entry 20:
{"formula": "Tb2ErThS4", "functional": "GGA-PBE", "state": "relaxed", "sg": "P2/m (10)", "dft_energy_ev_per_cell": -53.24, "e_form_raw_ev_per_atom": -1.94, "n_ef_per_ev_cell": 3.35, "lattice": [[6.818, 0.000, 0.000], [0.000, 3.915, 0.000], [-2.258, 0.000, 6.499]], "species": ["Tb", "Tb", "Er", "Th", "S", "S", "S", "S"], "fractional_positions": [[0.000, 0.000, 0.000], [0.000, 0.500, 0.500], [0.500, 0.000, 0.500], [0.500, 0.500, 0.000], [0.244, 0.000, 0.739], [0.250, 0.500, 0.258], [0.750, 0.500, 0.742], [0.756, 0.000, 0.261]]}